No. 1
DFT (PBE) results for crystalline LaMn2Cr at its relaxed geometry. Values from VASP.

Summary:
As for the space-group type: Cm. The value obtained for the electronic total energy is -7.90 eV per atom. The value obtained for the formation enthalpy at 0 K is 0.32 eV per atom. The total magnetization comes out at 0.8 μB/f.u.

The structure in Quantum ESPRESSO input format:
```
&SYSTEM
  ibrav = 0, nat = 4, ntyp = 3
/
ATOMIC_SPECIES
La 138.91 La.upf
Mn 54.94 Mn.upf
Cr 52.00 Cr.upf
ATOMIC_POSITIONS crystal
La 0.0000 0.0000 0.0000
Mn 0.4927 0.4927 0.4787
Mn 0.8107 0.8107 0.4338
Cr 0.1948 0.1948 0.5856
CELL_PARAMETERS angstrom
3.4564 -1.9778 0.0000
3.4564 1.9778 0.0000
-2.2968 0.0000 5.4120
```

***

No. 2
DFT (PBE) results for crystalline LaMn2Cr at its relaxed geometry. Values from VASP.

Summary:
As for the space-group type: I4_1/amd. The value obtained for the electronic total energy is -7.51 eV per atom. The value obtained for the formation enthalpy at 0 K is 0.71 eV per atom. The total magnetization comes out at 0.0 μB/f.u.

The structure in Quantum ESPRESSO input format:
```
&SYSTEM
  ibrav = 0, nat = 8, ntyp = 3
/
ATOMIC_SPECIES
La 138.91 La.upf
Mn 54.94 Mn.upf
Cr 52.00 Cr.upf
ATOMIC_POSITIONS crystal
La 0.3750 0.6250 0.7500
La 0.6250 0.3750 0.2500
Mn 0.0000 0.0000 0.0000
Mn 0.0000 0.0000 0.5000
Mn 0.0000 0.5000 0.0000
Mn 0.5000 0.0000 0.5000
Cr 0.1250 0.8750 0.2500
Cr 0.8750 0.1250 0.7500
CELL_PARAMETERS angstrom
-2.2880 2.2880 7.5477
2.2880 -2.2880 7.5477
2.2880 2.2880 -7.5477
```